(i)
Material: Ga2ReAg2
Method: DFT, PBE-GGA
State: relaxed

## Properties
**DOS(E_F)**: 6.3 states/eV/cell
**Total magnetization**: 0.000 Bohr magnetons per cell

a = 7.654 Å, b = 7.654 Å, c = 2.813 Å
α = 90.00°, β = 90.00°, γ = 90.00°
Space group P4/mbm (No. 127)
Inequivalent atoms, fractional coordinates:
Ga1 0.177 0.323 0.000 (multiplicity 4)
Re1 0.000 0.000 0.500 (multiplicity 2)
Ag1 0.126 0.626 0.500 (multiplicity 4)

=====

(ii)
Material: Ga2ReAg2
Method: DFT, PBE-GGA
State: relaxed

## Properties
**DOS(E_F)**: 5.6 states/eV/cell
**Total magnetization**: 4.842 Bohr magnetons per cell

a = 3.675 Å, b = 3.675 Å, c = 13.334 Å
α = 90.00°, β = 90.00°, γ = 90.00°
Space group I4/mmm (No. 139)
Inequivalent atoms, fractional coordinates:
Ga1 0.000 0.500 0.250 (multiplicity 4)
Re1 0.000 0.000 0.000 (multiplicity 2)
Ag1 0.000 0.000 0.399 (multiplicity 4)

=====

How far above the most stable structure does each one sit? In meV/atom: (i) 0; (ii) 313.

=====

(i)
Material: Ga2AgRh2
Method: DFT, PBE-GGA
State: relaxed

## Properties
**DOS(E_F)**: 6.4 states/eV/cell
**Total magnetization**: 0.000 Bohr magnetons per cell

a = 3.864 Å, b = 3.864 Å, c = 11.404 Å
α = 90.00°, β = 90.00°, γ = 90.00°
Space group I4/mmm (No. 139)
Inequivalent atoms, fractional coordinates:
Ga1 0.000 0.500 0.250 (multiplicity 4)
Ag1 0.000 0.000 0.000 (multiplicity 2)
Rh1 0.000 0.000 0.386 (multiplicity 4)

=====

(ii)
Material: Ga2AgRh2
Method: DFT, PBE-GGA
State: relaxed

## Properties
**DOS(E_F)**: 3.2 states/eV/cell
**Total magnetization**: 0.000 Bohr magnetons per cell

a = 7.206 Å, b = 7.206 Å, c = 2.932 Å
α = 90.00°, β = 90.00°, γ = 90.00°
Space group P4/mbm (No. 127)
Inequivalent atoms, fractional coordinates:
Ga1 0.143 0.357 0.000 (multiplicity 4)
Ag1 0.000 0.000 0.000 (multiplicity 2)
Rh1 0.152 0.652 0.500 (multiplicity 4)

=====

How far above the most stable structure does each one sit? In meV/atom: (i) 315; (ii) 0.

=====

(i)
Material: Ga2AgRh
Method: DFT, PBE-GGA
State: relaxed

## Properties
**DOS(E_F)**: 8.7 states/eV/cell
**Total magnetization**: 0.000 Bohr magnetons per cell

a = 2.9745 Å, b = 2.9745 Å, c = 25.4611 Å
α = 90.00°, β = 90.00°, γ = 120.00°
Space group R-3m (No. 166, hexagonal axes)
Inequivalent atoms, fractional coordinates:
Ga1 0.0000 0.0000 0.2420 (multiplicity 6)
Ag1 0.0000 0.0000 0.0000 (multiplicity 3)
Rh1 0.0000 0.0000 0.5000 (multiplicity 3)

=====

(ii)
Material: Ga2AgRh
Method: DFT, PBE-GGA
State: relaxed

## Properties
**DOS(E_F)**: 6.9 states/eV/cell
**Total magnetization**: 0.000 Bohr magnetons per cell

a = 6.277 Å, b = 6.277 Å, c = 6.277 Å
α = 90.00°, β = 90.00°, γ = 90.00°
Space group Fm-3m (No. 225)
Inequivalent atoms, fractional coordinates:
Ga1 0.250 0.250 0.250 (multiplicity 8)
Ag1 0.000 0.000 0.000 (multiplicity 4)
Rh1 0.000 0.000 0.500 (multiplicity 4)

=====

How far above the most stable structure does each one sit? In meV/atom: (i) 0; (ii) 22.

=====

(i)
Material: Ga2AgRh
Method: DFT, PBE-GGA
State: relaxed

## Properties
**DOS(E_F)**: 4.4 states/eV/cell
**Total magnetization**: 0.000 Bohr magnetons per cell

a = 4.0731 Å, b = 4.0731 Å, c = 14.5730 Å
α = 90.00°, β = 90.00°, γ = 120.00°
Space group R3m (No. 160, hexagonal axes)
Inequivalent atoms, fractional coordinates:
Ga1 0.0000 0.0000 0.0000 (multiplicity 3)
Ga2 0.0000 0.0000 0.2022 (multiplicity 3)
Ag1 0.0000 0.0000 0.4226 (multiplicity 3)
Rh1 0.0000 0.0000 0.6147 (multiplicity 3)

=====

(ii)
Material: Ga2AgRh
Method: DFT, PBE-GGA
State: relaxed

## Properties
**DOS(E_F)**: 2.0 states/eV/cell
**Total magnetization**: 0.000 Bohr magnetons per cell

a = 4.418 Å, b = 4.418 Å, c = 3.165 Å
α = 90.00°, β = 90.00°, γ = 90.00°
Space group P4/mmm (No. 123)
Inequivalent atoms, fractional coordinates:
Ga1 0.000 0.500 0.000 (multiplicity 2)
Ag1 0.000 0.000 0.500 (multiplicity 1)
Rh1 0.500 0.500 0.500 (multiplicity 1)

=====

How far above the most stable structure does each one sit? In meV/atom: (i) 0; (ii) 10.